! TbDyInPt, relaxed, DFT PBE-GGA; values from VASP
! - calculated volume (Å³/cell) = 96
! - energy relative to the elements (meV per atom) = -746
! - crystal system = cubic
&SYSTEM
  ibrav = 0, nat = 4, ntyp = 4
/
ATOMIC_SPECIES
Tb 158.93 Tb.upf
Dy 162.50 Dy.upf
Pt 195.08 Pt.upf
In 114.82 In.upf
ATOMIC_POSITIONS crystal
Tb 0.000 0.000 0.000
Dy 0.500 0.500 0.500
Pt 0.750 0.750 0.750
In 0.250 0.250 0.250
CELL_PARAMETERS angstrom
-3.418 3.721 -0.941
-2.921 1.830 3.813
0.805 4.745 1.804